Computed, not measured: an optimized crystal structure of Na2NiAuN at the GGA-PBE level of DFT.

Cell and atoms, written as CIF:
```
data_Na2NiAuN
_chemical_formula_sum 'Na2 Ni1 Au1 N1'
_symmetry_space_group_name_H-M 'P 4/m m m'
_symmetry_Int_Tables_number 123
_symmetry_space_group_name_Hall '-P 4 2'
_cell_length_a 5.092
_cell_length_b 5.092
_cell_length_c 3.431
_cell_angle_alpha 90.00
_cell_angle_beta 90.00
_cell_angle_gamma 90.00
loop_
_atom_site_label
_atom_site_fract_x
_atom_site_fract_y
_atom_site_fract_z
Na1 0.000 0.500 0.000
Ni1 0.000 0.000 0.500
Au1 0.500 0.500 0.500
N1 0.000 0.000 0.000
```

Summary:
total energy: -20.51 eV per cell